# Pb3Se5S12 | Alexandria via LeMat-Bulk | PBE | relaxed
data_Pb3Se5S12
_chemical_formula_sum 'Pb12 Se20 S48'
_cell_length_a 13.859
_cell_length_b 13.859
_cell_length_c 13.859
_cell_angle_alpha 109.47
_cell_angle_beta 109.47
_cell_angle_gamma 109.47
_space_group_name_H-M_alt 'P 1'
_space_group_IT_number 1
loop_
_space_group_symop_operation_xyz
'x,y,z'
loop_
_atom_site_label
_atom_site_fract_x
_atom_site_fract_y
_atom_site_fract_z
_atom_site_occupancy
Pb1 0.125 0.250 0.375 1
Pb2 0.125 0.375 0.750 1
Pb3 0.250 0.375 0.125 1
Pb4 0.250 0.875 0.625 1
Pb5 0.375 0.125 0.250 1
Pb6 0.375 0.750 0.125 1
Pb7 0.625 0.250 0.875 1
Pb8 0.625 0.875 0.750 1
Pb9 0.750 0.125 0.375 1
Pb10 0.750 0.625 0.875 1
Pb11 0.875 0.625 0.250 1
Pb12 0.875 0.750 0.625 1
Se1 0.000 0.000 0.000 1
Se2 0.000 0.000 0.500 1
Se3 0.000 0.500 0.000 1
Se4 0.000 0.500 0.500 1
Se5 0.125 0.750 0.875 1
Se6 0.125 0.875 0.250 1
Se7 0.250 0.125 0.875 1
Se8 0.250 0.625 0.375 1
Se9 0.375 0.250 0.625 1
Se10 0.375 0.625 0.750 1
Se11 0.500 0.000 0.000 1
Se12 0.500 0.000 0.500 1
Se13 0.500 0.500 0.000 1
Se14 0.500 0.500 0.500 1
Se15 0.625 0.375 0.250 1
Se16 0.625 0.750 0.375 1
Se17 0.750 0.375 0.625 1
Se18 0.750 0.875 0.125 1
Se19 0.875 0.125 0.750 1
Se20 0.875 0.250 0.125 1
S1 0.025 0.201 0.117 1
S2 0.025 0.325 0.909 1
S3 0.084 0.701 0.675 1
S4 0.084 0.883 0.409 1
S5 0.091 0.617 0.416 1
S6 0.091 0.975 0.675 1
S7 0.117 0.025 0.201 1
S8 0.117 0.591 0.916 1
S9 0.175 0.201 0.584 1
S10 0.175 0.475 0.591 1
S11 0.201 0.117 0.025 1
S12 0.201 0.584 0.175 1
S13 0.299 0.325 0.916 1
S14 0.299 0.475 0.383 1
S15 0.325 0.909 0.025 1
S16 0.325 0.916 0.299 1
S17 0.383 0.299 0.475 1
S18 0.383 0.584 0.909 1
S19 0.409 0.084 0.883 1
S20 0.409 0.825 0.525 1
S21 0.416 0.091 0.617 1
S22 0.416 0.825 0.799 1
S23 0.475 0.383 0.299 1
S24 0.475 0.591 0.175 1
S25 0.525 0.409 0.825 1
S26 0.525 0.617 0.701 1
S27 0.584 0.175 0.201 1
S28 0.584 0.909 0.383 1
S29 0.591 0.175 0.475 1
S30 0.591 0.916 0.117 1
S31 0.617 0.416 0.091 1
S32 0.617 0.701 0.525 1
S33 0.675 0.084 0.701 1
S34 0.675 0.091 0.975 1
S35 0.701 0.525 0.617 1
S36 0.701 0.675 0.084 1
S37 0.799 0.416 0.825 1
S38 0.799 0.883 0.975 1
S39 0.825 0.525 0.409 1
S40 0.825 0.799 0.416 1
S41 0.883 0.409 0.084 1
S42 0.883 0.975 0.799 1
S43 0.909 0.025 0.325 1
S44 0.909 0.383 0.584 1
S45 0.916 0.117 0.591 1
S46 0.916 0.299 0.325 1
S47 0.975 0.675 0.091 1
S48 0.975 0.799 0.883 1
# DFT total energy in eV/atom: -3.71
# Formation energy from raw total energies in eV/atom: 0.189
# Mass density in Mg/m³: 4.542


# PbSeS2 | Alexandria via LeMat-Bulk | PBE | relaxed
data_PbSeS2
_chemical_formula_sum 'Pb1 Se1 S2'
_cell_length_a 9.097
_cell_length_b 9.097
_cell_length_c 9.097
_cell_angle_alpha 23.28
_cell_angle_beta 23.28
_cell_angle_gamma 23.28
_space_group_name_H-M_alt 'P 1'
_space_group_IT_number 1
loop_
_space_group_symop_operation_xyz
'x,y,z'
loop_
_atom_site_label
_atom_site_fract_x
_atom_site_fract_y
_atom_site_fract_z
_atom_site_occupancy
Pb1 0.000 0.000 0.000 1
Se1 0.500 0.500 0.500 1
S1 0.112 0.112 0.112 1
S2 0.888 0.888 0.888 1
# E above lowest polymorph in eV per formula unit: 1.65
# DFT total energy in eV/atom: -3.61
# Formation energy from raw total energies in eV/atom: 0.256
# Mass density in Mg/m³: 5.633


# Pb2SeS | Alexandria via LeMat-Bulk | PBE | relaxed
data_Pb2SeS
_chemical_formula_sum 'Pb2 Se1 S1'
_cell_length_a 7.477
_cell_length_b 7.477
_cell_length_c 7.477
_cell_angle_alpha 33.55
_cell_angle_beta 33.55
_cell_angle_gamma 33.55
_space_group_name_H-M_alt 'P 1'
_space_group_IT_number 1
loop_
_space_group_symop_operation_xyz
'x,y,z'
loop_
_atom_site_label
_atom_site_fract_x
_atom_site_fract_y
_atom_site_fract_z
_atom_site_occupancy
Pb1 0.247 0.247 0.247 1
Pb2 0.753 0.753 0.753 1
Se1 0.000 0.000 0.000 1
S1 0.500 0.500 0.500 1
# E above lowest polymorph in eV per formula unit: 0.00
# DFT total energy in eV/atom: -4.31
# Formation energy from raw total energies in eV/atom: -0.549
# Mass density in Mg/m³: 7.674


# Pb2SeS | Alexandria via LeMat-Bulk | PBE | relaxed
data_Pb2SeS
_chemical_formula_sum 'Pb2 Se1 S1'
_cell_length_a 5.249
_cell_length_b 5.249
_cell_length_c 5.249
_cell_angle_alpha 60.00
_cell_angle_beta 60.00
_cell_angle_gamma 60.00
_space_group_name_H-M_alt 'P 1'
_space_group_IT_number 1
loop_
_space_group_symop_operation_xyz
'x,y,z'
loop_
_atom_site_label
_atom_site_fract_x
_atom_site_fract_y
_atom_site_fract_z
_atom_site_occupancy
Pb1 0.250 0.250 0.250 1
Pb2 0.750 0.750 0.750 1
Se1 0.000 0.000 0.000 1
S1 0.500 0.500 0.500 1
# E above lowest polymorph in eV per formula unit: 1.01
# DFT total energy in eV/atom: -4.05
# Formation energy from raw total energies in eV/atom: -0.297
# Mass density in Mg/m³: 8.532


# Pb3SeS2 | Alexandria via LeMat-Bulk | PBE | relaxed
data_Pb3SeS2
_chemical_formula_sum 'Pb6 Se2 S4'
_cell_length_a 8.544
_cell_length_b 8.544
_cell_length_c 10.399
_cell_angle_alpha 109.57
_cell_angle_beta 109.57
_cell_angle_gamma 28.18
_space_group_name_H-M_alt 'P 1'
_space_group_IT_number 1
loop_
_space_group_symop_operation_xyz
'x,y,z'
loop_
_atom_site_label
_atom_site_fract_x
_atom_site_fract_y
_atom_site_fract_z
_atom_site_occupancy
Pb1 0.030 0.030 0.304 1
Pb2 0.301 0.301 0.362 1
Pb3 0.355 0.355 0.976 1
Pb4 0.645 0.645 0.024 1
Pb5 0.699 0.699 0.638 1
Pb6 0.970 0.970 0.696 1
Se1 0.000 0.000 0.000 1
Se2 0.500 0.500 0.500 1
S1 0.166 0.166 0.834 1
S2 0.331 0.331 0.662 1
S3 0.669 0.669 0.338 1
S4 0.834 0.834 0.166 1
# E above lowest polymorph in eV per formula unit: 0.49
# DFT total energy in eV/atom: -4.27
# Formation energy from raw total energies in eV/atom: -0.460
# Mass density in Mg/m³: 7.550


# PbSe2S | Alexandria via LeMat-Bulk | PBE | relaxed
data_PbSe2S
_chemical_formula_sum 'Pb1 Se2 S1'
_cell_length_a 9.365
_cell_length_b 9.365
_cell_length_c 9.365
_cell_angle_alpha 22.54
_cell_angle_beta 22.54
_cell_angle_gamma 22.54
_space_group_name_H-M_alt 'P 1'
_space_group_IT_number 1
loop_
_space_group_symop_operation_xyz
'x,y,z'
loop_
_atom_site_label
_atom_site_fract_x
_atom_site_fract_y
_atom_site_fract_z
_atom_site_occupancy
Pb1 0.000 0.000 0.000 1
Se1 0.111 0.111 0.111 1
Se2 0.889 0.889 0.889 1
S1 0.500 0.500 0.500 1
# E above lowest polymorph in eV per formula unit: 0.83
# DFT total energy in eV/atom: -3.39
# Formation energy from raw total energies in eV/atom: 0.308
# Mass density in Mg/m³: 6.231


# PbSeS5 | Alexandria via LeMat-Bulk | PBE | relaxed
data_PbSeS5
_chemical_formula_sum 'Pb1 Se1 S5'
_cell_length_a 5.774
_cell_length_b 5.926
_cell_length_c 6.543
_cell_angle_alpha 106.84
_cell_angle_beta 97.23
_cell_angle_gamma 92.39
_space_group_name_H-M_alt 'P 1'
_space_group_IT_number 1
loop_
_space_group_symop_operation_xyz
'x,y,z'
loop_
_atom_site_label
_atom_site_fract_x
_atom_site_fract_y
_atom_site_fract_z
_atom_site_occupancy
Pb1 0.000 0.000 0.000 1
Se1 0.770 0.567 0.234 1
S1 0.103 0.177 0.437 1
S2 0.435 0.801 0.610 1
S3 0.436 0.077 0.472 1
S4 0.487 0.941 0.938 1
S5 0.977 0.489 0.979 1
# DFT total energy in eV/atom: -3.90
# Formation energy from raw total energies in eV/atom: 0.079
# Mass density in Mg/m³: 3.499


# Pb6SeS5 | Alexandria via LeMat-Bulk | PBE | relaxed
data_Pb6SeS5
_chemical_formula_sum 'Pb6 Se1 S5'
_cell_length_a 7.393
_cell_length_b 7.393
_cell_length_c 7.392
_cell_angle_alpha 99.60
_cell_angle_beta 99.60
_cell_angle_gamma 120.03
_space_group_name_H-M_alt 'P 1'
_space_group_IT_number 1
loop_
_space_group_symop_operation_xyz
'x,y,z'
loop_
_atom_site_label
_atom_site_fract_x
_atom_site_fract_y
_atom_site_fract_z
_atom_site_occupancy
Pb1 0.076 0.415 0.748 1
Pb2 0.246 0.246 0.254 1
Pb3 0.415 0.076 0.748 1
Pb4 0.585 0.924 0.252 1
Pb5 0.754 0.754 0.746 1
Pb6 0.924 0.585 0.252 1
Se1 0.500 0.500 0.000 1
S1 0.000 0.000 0.500 1
S2 0.168 0.832 0.000 1
S3 0.336 0.664 0.500 1
S4 0.664 0.336 0.500 1
S5 0.832 0.168 0.000 1
# DFT total energy in eV/atom: -4.40
# Formation energy from raw total energies in eV/atom: -0.540
# Mass density in Mg/m³: 7.465


# Pb5Se2S4 | Alexandria via LeMat-Bulk | PBE | relaxed
data_Pb5Se2S4
_chemical_formula_sum 'Pb5 Se2 S4'
_cell_length_a 19.471
_cell_length_b 19.471
_cell_length_c 19.471
_cell_angle_alpha 13.32
_cell_angle_beta 13.32
_cell_angle_gamma 13.32
_space_group_name_H-M_alt 'P 1'
_space_group_IT_number 1
loop_
_space_group_symop_operation_xyz
'x,y,z'
loop_
_atom_site_label
_atom_site_fract_x
_atom_site_fract_y
_atom_site_fract_z
_atom_site_occupancy
Pb1 0.000 0.000 0.000 1
Pb2 0.129 0.129 0.129 1
Pb3 0.273 0.273 0.273 1
Pb4 0.727 0.727 0.727 1
Pb5 0.871 0.871 0.871 1
Se1 0.362 0.362 0.362 1
Se2 0.638 0.638 0.638 1
S1 0.083 0.083 0.083 1
S2 0.191 0.191 0.191 1
S3 0.809 0.809 0.809 1
S4 0.917 0.917 0.917 1
# DFT total energy in eV/atom: -4.16
# Formation energy from raw total energies in eV/atom: -0.342
# Mass density in Mg/m³: 6.438


# PbSeS2 | Alexandria via LeMat-Bulk | PBE | relaxed
data_PbSeS2
_chemical_formula_sum 'Pb1 Se1 S2'
_cell_length_a 4.939
_cell_length_b 4.939
_cell_length_c 4.939
_cell_angle_alpha 60.00
_cell_angle_beta 60.00
_cell_angle_gamma 60.00
_space_group_name_H-M_alt 'P 1'
_space_group_IT_number 1
loop_
_space_group_symop_operation_xyz
'x,y,z'
loop_
_atom_site_label
_atom_site_fract_x
_atom_site_fract_y
_atom_site_fract_z
_atom_site_occupancy
Pb1 0.000 0.000 0.000 1
Se1 0.500 0.500 0.500 1
S1 0.250 0.250 0.250 1
S2 0.750 0.750 0.750 1
# E above lowest polymorph in eV per formula unit: 2.09
# DFT total energy in eV/atom: -3.50
# Formation energy from raw total energies in eV/atom: 0.366
# Mass density in Mg/m³: 6.828